Entry 1:
Below is an optimized crystal structure of Hf6CuIr5, with properties calculated at the PBE level.

The calculation puts the calculated formation energy at -0.80 eV/atom. The calculated volume comes out at 421 Å³/cell. The electronic total energy is -9.812 eV/atom. The value obtained for the spin magnetization is 0.00 μB/cell.

The space group is Immm (No. 71) and the conventional cell measures 4.535, 6.794 and 13.672 Å, with angles of 90.00, 90.00 and 90.00 degrees. Symmetry generates all atoms from Hf at (0.000, 0.244, 0.000), Hf at (0.000, 0.254, 0.334), Cu at (0.000, 0.500, 0.500), Ir at (0.000, 0.000, 0.176), Ir at (0.000, 0.000, 0.500) and Ir at (0.000, 0.500, 0.161).

Entry 2:
Below is an optimized crystal structure of Hf2Cu3Ir, with properties calculated at the PBE level.

The calculation puts the calculated formation energy at -0.28 eV/atom. The calculated volume comes out at 376 Å³/cell. The electronic total energy is -7.127 eV/atom. The value obtained for the spin magnetization is 0.00 μB/cell.

The space group is C2/c (No. 15) and the conventional cell measures 5.618, 8.049 and 8.749 Å, with angles of 90.00, 108.11 and 90.00 degrees. Symmetry generates all atoms from Hf at (0.179, 0.125, 0.107), Cu at (0.000, 0.376, 0.250), Cu at (0.158, 0.375, 0.566) and Ir at (0.000, 0.125, 0.750).

Entry 3:
Below is an optimized crystal structure of Hf3Cu3Ir2, with properties calculated at the PBE level.

The calculation puts the calculated formation energy at -0.43 eV/atom. The calculated volume comes out at 138 Å³/cell. The electronic total energy is -7.916 eV/atom. The value obtained for the spin magnetization is 0.00 μB/cell.

The space group is P-62m (No. 189) and the conventional cell measures 7.0300, 7.0300 and 3.2177 Å, with angles of 90.00, 90.00 and 120.00 degrees. Symmetry generates all atoms from Hf at (0.0000, 0.6061, 0.0000), Cu at (0.0000, 0.2170, 0.5000) and Ir at (0.3333, 0.6667, 0.5000).

Entry 4:
Below is an optimized crystal structure of Hf2CuIr4, with properties calculated at the PBE level.

The calculation puts the calculated formation energy at -0.27 eV/atom. The calculated volume comes out at 249 Å³/cell. The electronic total energy is -8.758 eV/atom. The value obtained for the spin magnetization is 0.00 μB/cell.

The space group is I4/mmm (No. 139) and the conventional cell measures 3.786, 3.786 and 17.365 Å, with angles of 90.00, 90.00 and 90.00 degrees. Symmetry generates all atoms from Hf at (0.000, 0.000, 0.108), Cu at (0.000, 0.000, 0.500), Ir at (0.000, 0.000, 0.360) and Ir at (0.000, 0.500, 0.250).

Entry 5:
Below is an optimized crystal structure of HfCuIr2, with properties calculated at the PBE level.

The calculation puts the calculated formation energy at -0.62 eV/atom. The calculated volume comes out at 61 Å³/cell. The electronic total energy is -8.560 eV/atom. The value obtained for the spin magnetization is 0.00 μB/cell.

The space group is P4/mmm (No. 123) and the conventional cell measures 4.001, 4.001 and 3.795 Å, with angles of 90.00, 90.00 and 90.00 degrees. Symmetry generates all atoms from Hf at (0.000, 0.000, 0.000), Cu at (0.500, 0.500, 0.000) and Ir at (0.000, 0.500, 0.500).

Entry 6:
Below is an optimized crystal structure of HfCuIr3, with properties calculated at the PBE level.

The calculation puts the calculated formation energy at 1.67 eV/atom. The calculated volume comes out at 111 Å³/cell. The calculation puts the energy above the most stable polymorph in this dataset at 0.908 eV per atom. The electronic total energy is -6.452 eV/atom. The value obtained for the spin magnetization is 0.00 μB/cell.

The space group is Pm-3m (No. 221) and the conventional cell measures 4.809, 4.809 and 4.809 Å, with angles of 90.00, 90.00 and 90.00 degrees. Symmetry generates all atoms from Hf at (0.000, 0.000, 0.000), Cu at (0.500, 0.500, 0.500) and Ir at (0.000, 0.000, 0.500).

Entry 7:
Below is an optimized crystal structure of Hf4CuIr, with properties calculated at the PBE level.

The calculation puts the calculated formation energy at -0.41 eV/atom. The calculated volume comes out at 114 Å³/cell. The calculation puts the energy above the most stable polymorph in this dataset at 0.037 eV per atom. The electronic total energy is -9.202 eV/atom. The value obtained for the spin magnetization is 0.00 μB/cell.

The space group is P4/mmm (No. 123) and the conventional cell measures 3.235, 3.235 and 10.892 Å, with angles of 90.00, 90.00 and 90.00 degrees. Symmetry generates all atoms from Hf at (0.000, 0.000, 0.153), Hf at (0.500, 0.500, 0.341), Cu at (0.000, 0.000, 0.500) and Ir at (0.500, 0.500, 0.000).

Entry 8:
Below is an optimized crystal structure of Hf4Cu3Ir, with properties calculated at the PBE level.

The calculation puts the calculated formation energy at -0.35 eV/atom. The calculated volume comes out at 137 Å³/cell. The electronic total energy is -7.971 eV/atom. The value obtained for the spin magnetization is 0.00 μB/cell.

The space group is Pmmm (No. 47) and the conventional cell measures 3.303, 4.560 and 9.119 Å, with angles of 90.00, 90.00 and 90.00 degrees. Symmetry generates all atoms from Hf at (0.000, 0.000, 0.000), Hf at (0.000, 0.000, 0.500), Hf at (0.000, 0.500, 0.248), Cu at (0.500, 0.000, 0.258), Cu at (0.500, 0.500, 0.500) and Ir at (0.500, 0.500, 0.000).